(A)
# CaTe2Rh

A PBEsol-optimized structure of CaTe2Rh (meta-GGA SCAN, Alexandria via LeMat-Bulk).

abc: 4.029 5.134 5.136
angles: 106.05 90.00 90.00
Fractional coordinates of all 4 atoms:
Te  0.000  0.301  0.199
Te  0.000  0.699  0.801
Rh  0.500  0.500  0.000
Ca  0.500  0.000  0.500

***

(B)
# CaTe2Rh

A PBEsol-optimized structure of CaTe2Rh (meta-GGA SCAN, Alexandria via LeMat-Bulk).

abc: 4.331 4.629 5.967
angles: 90.00 111.27 90.00
Fractional coordinates of all 4 atoms:
Rh  0.195  0.500  0.016
Te  0.815  0.500  0.255
Te  0.099  0.000  0.822
Ca  0.391  0.000  0.407

***

How do the energies compare? Relative to the most stable structure, in meV per atom: (A) 48; (B) 0.

***

(A)
# TcIr2Pt

A PBEsol-optimized structure of TcIr2Pt (meta-GGA SCAN, Alexandria via LeMat-Bulk).

abc: 2.712 3.831 5.470
angles: 90.00 90.00 90.00
Fractional coordinates of all 4 atoms:
Ir  0.000  0.000  0.259
Ir  0.000  0.000  0.741
Tc  0.500  0.500  0.500
Pt  0.500  0.500  0.000

***

(B)
# TcIr2Pt

A PBEsol-optimized structure of TcIr2Pt (meta-GGA SCAN, Alexandria via LeMat-Bulk).

abc: 2.713 2.713 7.725
angles: 90.00 90.00 90.00
Fractional coordinates of all 4 atoms:
Pt  0.500  0.500  0.000
Tc  0.500  0.500  0.500
Ir  0.000  0.000  0.261
Ir  0.000  0.000  0.739

***

How do the energies compare? Relative to the most stable structure, in meV per atom: (A) 12; (B) 0.

***

(A)
# TeIr2Cl

A PBEsol-optimized structure of TeIr2Cl (meta-GGA SCAN, Alexandria via LeMat-Bulk).

abc: 2.917 4.995 5.420
angles: 116.91 104.78 91.74
Fractional coordinates of all 4 atoms:
Te  0.000  0.000  0.000
Ir  0.500  0.500  0.500
Ir  0.000  0.000  0.500
Cl  0.500  0.500  0.000

***

(B)
# TeIr2Cl

A PBEsol-optimized structure of TeIr2Cl (meta-GGA SCAN, Alexandria via LeMat-Bulk).

abc: 3.057 3.057 9.456
angles: 80.70 80.70 60.00
Fractional coordinates of all 4 atoms:
Te  0.485  0.485  0.545
Cl  0.271  0.271  0.187
Ir  0.739  0.739  0.782
Ir  0.005  0.005  0.986

***

How do the energies compare? Relative to the most stable structure, in meV per atom: (A) 441; (B) 0.

***

(A)
# BeZnRh2

A PBEsol-optimized structure of BeZnRh2 (meta-GGA SCAN, Alexandria via LeMat-Bulk).

abc: 2.824 2.824 5.910
angles: 90.00 90.00 90.00
Fractional coordinates of all 4 atoms:
Rh  0.000  0.000  0.274
Rh  0.000  0.000  0.726
Zn  0.500  0.500  0.000
Be  0.500  0.500  0.500

***

(B)
# BeZnRh2

A PBEsol-optimized structure of BeZnRh2 (meta-GGA SCAN, Alexandria via LeMat-Bulk).

abc: 3.543 3.543 4.650
angles: 112.39 112.39 90.00
Fractional coordinates of all 4 atoms:
Rh  0.000  0.000  0.000
Rh  0.750  0.250  0.500
Zn  0.500  0.500  0.000
Be  0.250  0.750  0.500

***

How do the energies compare? Relative to the most stable structure, in meV per atom: (A) 0; (B) 305.